No. 1
A plane-wave DFT calculation with PBE was carried out for crystalline Pa3HS5 at its relaxed geometry.

The space group is C2/m (No. 12) and the conventional cell measures 11.517, 8.925 and 8.903 Å, with angles of 90.00, 106.26 and 90.00 degrees. The distinct sites, in fractional coordinates, are Pa at (0.000, 0.000, 0.000), Pa at (0.000, 0.000, 0.500), Pa at (0.165, 0.500, 0.157), Pa at (0.207, 0.500, 0.588), H at (0.077, 0.000, 0.283), S at (0.000, 0.297, 0.000), S at (0.016, 0.500, 0.334), S at (0.187, 0.185, 0.627) and S at (0.240, 0.000, 0.087).


No. 2
A plane-wave DFT calculation with PBE was carried out for crystalline Sn5Hg12Ge3 at its relaxed geometry.

The formation energy from the elements is 0.215 eV/atom.

The space group is Ia-3d (No. 230) and the conventional cell measures 16.794, 16.794 and 16.794 Å, with angles of 90.00, 90.00 and 90.00 degrees. The distinct sites, in fractional coordinates, are Sn at (0.000, 0.000, 0.000), Sn at (0.000, 0.250, 0.375), Hg at (0.020, 0.087, 0.652) and Ge at (0.000, 0.250, 0.125).


No. 3
A plane-wave DFT calculation with PBE was carried out for crystalline SrHgPb2 at its relaxed geometry.

The formation energy from the elements is -0.061 eV/atom.

The space group is R-3m (No. 166, hexagonal axes) and the conventional cell measures 3.9491, 3.9491 and 29.9628 Å, with angles of 90.00, 90.00 and 120.00 degrees. The distinct sites, in fractional coordinates, are Sr at (0.0000, 0.0000, 0.0000), Hg at (0.0000, 0.0000, 0.5000) and Pb at (0.0000, 0.0000, 0.2399).


No. 4
A plane-wave DFT calculation with PBE was carried out for crystalline SiTcMoW at its relaxed geometry.

The space group is F-43m (No. 216) and the conventional cell measures 6.171, 6.171 and 6.171 Å, with angles of 90.00, 90.00 and 90.00 degrees. The distinct sites, in fractional coordinates, are Si at (0.000, 0.000, 0.000), Tc at (0.250, 0.250, 0.250), Mo at (0.250, 0.250, 0.750) and W at (0.000, 0.000, 0.500).


No. 5
A plane-wave DFT calculation with PBE was carried out for crystalline YCd at its relaxed geometry.

The formation energy from the elements is -0.264 eV/atom.

The space group is Pbcm (No. 57) and the conventional cell measures 10.798, 9.316 and 6.439 Å, with angles of 90.00, 90.00 and 90.00 degrees. The distinct sites, in fractional coordinates, are Y at (0.117, 0.250, 0.000), Y at (0.179, 0.628, 0.250), Y at (0.372, 0.046, 0.250), Cd at (0.082, 0.549, 0.750), Cd at (0.367, 0.116, 0.750) and Cd at (0.420, 0.750, 0.000).


No. 6
A plane-wave DFT calculation with PBE was carried out for crystalline Re5As at its relaxed geometry.

Its relative energy among the computed polymorphs is 18 meV per atom. The formation energy from the elements is 0.178 eV/atom.

The space group is Cm (No. 8) and the conventional cell measures 10.200, 2.865 and 6.496 Å, with angles of 90.00, 106.55 and 90.00 degrees. The distinct sites, in fractional coordinates, are Re at (0.000, 0.000, 0.000), Re at (0.048, 0.000, 0.631), Re at (0.225, 0.500, 0.974), Re at (0.329, 0.000, 0.683), Re at (0.416, 0.000, 0.282) and As at (0.188, 0.500, 0.360).


No. 7
A plane-wave DFT calculation with PBE was carried out for crystalline SrRe2GeS at its relaxed geometry.

The space group is P4/mmm (No. 123) and the conventional cell measures 5.110, 5.110 and 5.494 Å, with angles of 90.00, 90.00 and 90.00 degrees. The distinct sites, in fractional coordinates, are Sr at (0.000, 0.000, 0.000), Re at (0.000, 0.500, 0.000), Ge at (0.000, 0.000, 0.500) and S at (0.500, 0.500, 0.500).


No. 8
A plane-wave DFT calculation with PBE was carried out for crystalline Th2AlTe6 at its relaxed geometry.

The space group is P4_2/mnm (No. 136) and the conventional cell measures 7.081, 7.081 and 13.626 Å, with angles of 90.00, 90.00 and 90.00 degrees. The distinct sites, in fractional coordinates, are Th at (0.000, 0.000, 0.166), Al at (0.000, 0.000, 0.500), Te at (0.190, 0.190, 0.349) and Te at (0.215, 0.215, 0.000).


No. 9
A plane-wave DFT calculation with PBE was carried out for crystalline Sm6Dy2Ho3Sc at its relaxed geometry.

The formation energy from the elements is 0.025 eV/atom.

The space group is C2/m (No. 12) and the conventional cell measures 6.177, 10.694 and 11.712 Å, with angles of 90.00, 100.09 and 90.00 degrees. The distinct sites, in fractional coordinates, are Sm at (0.248, 0.000, 0.252), Sm at (0.248, 0.165, 0.748), Dy at (0.000, 0.333, 0.500), Ho at (0.000, 0.166, 0.000), Ho at (0.000, 0.500, 0.000) and Sc at (0.000, 0.000, 0.500).


No. 10
A plane-wave DFT calculation with PBE was carried out for crystalline TaIr2 at its relaxed geometry.

The formation energy from the elements is -0.603 eV/atom.

The space group is C2/m (No. 12) and the conventional cell measures 8.814, 3.985 and 5.550 Å, with angles of 90.00, 105.96 and 90.00 degrees. The distinct sites, in fractional coordinates, are Ta at (0.151, 0.000, 0.308), Ir at (0.000, 0.500, 0.000), Ir at (0.000, 0.500, 0.500) and Ir at (0.172, 0.000, 0.818).


No. 11
A plane-wave DFT calculation with PBE was carried out for crystalline Al3Zn2Ir at its relaxed geometry.

The formation energy from the elements is -0.280 eV/atom.

The space group is Cmmm (No. 65) and the conventional cell measures 4.602, 14.825 and 5.365 Å, with angles of 90.00, 90.00 and 90.00 degrees. The distinct sites, in fractional coordinates, are Al at (0.000, 0.000, 0.248), Al at (0.000, 0.317, 0.242), Zn at (0.000, 0.156, 0.500), Zn at (0.000, 0.500, 0.000), Zn at (0.000, 0.500, 0.500) and Ir at (0.000, 0.150, 0.000).


No. 12
A plane-wave DFT calculation with PBE was carried out for crystalline Fe2ReN at its relaxed geometry.

The space group is R-3m (No. 166, hexagonal axes) and the conventional cell measures 2.7828, 2.7828 and 20.1919 Å, with angles of 90.00, 90.00 and 120.00 degrees. The distinct sites, in fractional coordinates, are Fe at (0.0000, 0.0000, 0.1161), Re at (0.0000, 0.0000, 0.0000) and N at (0.0000, 0.0000, 0.5000).


We obtain final energy values of -7.0599, -1.6596, -2.4111, -10.0211, -3.9540, -10.9704, -3.8203, -4.8518, -4.7742, -10.4608, -4.0526, -9.0005 eV per atom for the records listed above, in that order.